No. 1
Computed, not measured: a relaxed structure of SnTe2Ir at the PBE level of DFT.

Lattice parameters (Å, degrees): 3.9108 3.9108 27.5835 90.00 90.00 120.00
Space group R-3m (No. 166, hexagonal axes)
Symmetry-distinct sites (fractional):
Sn (0.0000, 0.0000, 0.0000) [3 per cell]
Te (0.0000, 0.0000, 0.1160) [6 per cell]
Ir (0.0000, 0.0000, 0.5000) [3 per cell]

Calculated values
Energy relative to the elements, uncorrected in meV/atom: -65.0
Calculated volume in Å³ per cell: 365.36
Total magnetization in μB per atom: 0.00

=====

No. 2
Computed, not measured: a relaxed structure of Sr2CaW at the PBE level of DFT.

Lattice parameters (Å, degrees): 9.474 9.474 6.771 90.00 90.00 90.00
Space group I-42d (No. 122)
Symmetry-distinct sites (fractional):
Sr (0.196, 0.250, 0.125) [8 per cell]
Ca (0.000, 0.000, 0.500) [4 per cell]
W (0.000, 0.000, 0.000) [4 per cell]

Calculated values
Calculated volume in Å³ per cell: 607.82
Offset from the most stable computed form in kJ/mol of formula units: 123.3
Total magnetization in μB per atom: 0.77

=====

No. 3
Computed, not measured: a relaxed structure of RbBaYI6 at the PBE level of DFT.

Lattice parameters (Å, degrees): 8.5510 8.5510 15.4438 90.00 90.00 120.00
Space group P-31c (No. 163)
Symmetry-distinct sites (fractional):
Rb (0.0000, 0.0000, 0.0000) [2 per cell]
Ba (0.3333, 0.6667, 0.2500) [2 per cell]
Y (0.3333, 0.6667, 0.7500) [2 per cell]
I (0.0371, 0.3848, 0.6338) [12 per cell]

Calculated values
Energy relative to the elements, uncorrected in meV/atom: -1552.9
Calculated volume in Å³ per cell: 977.95
Total magnetization in μB per atom: 0.00

=====

No. 4
Computed, not measured: a relaxed structure of GaMoS2 at the PBE level of DFT.

Lattice parameters (Å, degrees): 3.3208 3.3208 22.7682 90.00 90.00 120.00
Space group R-3m (No. 166, hexagonal axes)
Symmetry-distinct sites (fractional):
Ga (0.0000, 0.0000, 0.0000) [3 per cell]
Mo (0.0000, 0.0000, 0.5000) [3 per cell]
S (0.0000, 0.0000, 0.3983) [6 per cell]

Calculated values
Energy relative to the elements, uncorrected in meV/atom: 113.5
Calculated volume in Å³ per cell: 217.45
Total magnetization in μB per atom: 0.00

=====

Which formula does entry 2 have?
Sr2CaW